(1)
A plane-wave DFT calculation with PBE was carried out for Mg2AlCl after structural relaxation.

Unit cell a=7.5707 b=5.2458 c=3.1362 alpha=83.86 beta=74.57 gamma=129.95
Last column: nearest neighbours and their distance in Å.
Atoms (fractional coordinates):
Al 0.0000 0.5000 0.5000  8 Mg 2.91-3.20, 2 Al 3.14
Cl 0.5000 0.5000 0.0000  8 Mg 2.91-3.20, 2 Cl 3.14
Mg 0.0000 0.0000 0.0000  4 Cl 2.91-3.20, 4 Al 2.91-3.20, 2 Mg 3.14
Mg 0.5000 0.0000 0.5000  4 Al 2.91-3.20, 4 Cl 2.91-3.20, 2 Mg 3.14

## Properties
mass density = 2.162 Mg/m³
raw formation energy = -0.30 eV per atom
distance to the lowest polymorph of the same formula = 0.81 eV/f.u.


(2)
A plane-wave DFT calculation with PBE was carried out for InAsBr2 after structural relaxation.

Unit cell a=3.4982 b=3.4982 c=8.5023 alpha=90.00 beta=90.00 gamma=90.00
Last column: nearest neighbours and their distance in Å.
Atoms (fractional coordinates):
As 0.5000 0.5000 0.7500  8 Br 3.24, 4 As 3.50
Br 0.0000 0.0000 0.9964  4 As 3.24, 4 In 3.28, 4 Br 3.50
Br 0.0000 0.0000 0.5036  4 As 3.24, 4 In 3.28, 4 Br 3.50
In 0.5000 0.5000 0.2500  8 Br 3.28, 4 In 3.50

## Properties
mass density = 5.579 Mg/m³
raw formation energy = 0.16 eV per atom
distance to the lowest polymorph of the same formula = 1.91 eV/f.u.